Material: Be2NiPt2
Method: DFT, PBE
State: optimized geometry

Computed properties:
Formation energy from the elements in eV per atom: -0.394
Fermi-level density of states in states/eV per atom: 0.676
SG: No. 127
Distance to the lowest polymorph of the same formula in meV/atom: 126.5

Structure (CIF):
```
data_Be2NiPt2
_chemical_formula_sum 'Be4 Ni2 Pt4'
_space_group_name_H-M_alt 'P 1'
_space_group_IT_number 1
_space_group_name_Hall 'P 1'
_cell_length_a 6.725
_cell_length_b 6.725
_cell_length_c 2.710
_cell_angle_alpha 90.00
_cell_angle_beta 90.00
_cell_angle_gamma 90.00
loop_
_atom_site_label
_atom_site_fract_x
_atom_site_fract_y
_atom_site_fract_z
Be1 0.152 0.348 0.000
Be2 0.348 0.848 0.000
Be3 0.652 0.152 0.000
Be4 0.848 0.652 0.000
Ni1 0.000 0.000 0.500
Ni2 0.500 0.500 0.500
Pt1 0.148 0.648 0.500
Pt2 0.352 0.148 0.500
Pt3 0.648 0.852 0.500
Pt4 0.852 0.352 0.500
```



Material: Ac6As3P2S
Method: DFT, PBE
State: optimized geometry

Computed properties:
Formation energy from raw total energies in eV/atom: -1.60
Fermi-level density of states in states/eV per atom: 0.216
SG: No. 12

Structure (CIF):
```
data_Ac6As3P2S
_chemical_formula_sum 'Ac6 As3 P2 S1'
_space_group_name_H-M_alt 'P 1'
_space_group_IT_number 1
_space_group_name_Hall 'P 1'
_cell_length_a 10.006
_cell_length_b 10.006
_cell_length_c 8.955
_cell_angle_alpha 102.83
_cell_angle_beta 102.83
_cell_angle_gamma 25.88
loop_
_atom_site_label
_atom_site_fract_x
_atom_site_fract_y
_atom_site_fract_z
Ac1 0.001 0.001 0.252
Ac2 0.332 0.332 0.420
Ac3 0.333 0.333 0.912
Ac4 0.667 0.667 0.088
Ac5 0.668 0.668 0.580
Ac6 0.999 0.999 0.748
As1 0.165 0.165 0.834
As2 0.500 0.500 0.500
As3 0.835 0.835 0.166
P1 0.165 0.165 0.331
P2 0.835 0.835 0.669
S1 0.500 0.500 0.000
```



Material: YNpAs2
Method: DFT, PBE
State: optimized geometry

Computed properties:
Formation energy from the elements in eV per atom: -1.117
Fermi-level density of states in states/eV per atom: 2.380
SG: No. 166
Distance to the lowest polymorph of the same formula in meV/atom: 0.0

Structure (CIF):
```
data_YNpAs2
_chemical_formula_sum 'Y3 Np3 As6'
_space_group_name_H-M_alt 'P 1'
_space_group_IT_number 1
_space_group_name_Hall 'P 1'
_cell_length_a 4.108
_cell_length_b 4.108
_cell_length_c 20.213
_cell_angle_alpha 90.00
_cell_angle_beta 90.00
_cell_angle_gamma 120.00
loop_
_atom_site_label
_atom_site_fract_x
_atom_site_fract_y
_atom_site_fract_z
Y1 0.000 0.000 0.000
Y2 0.333 0.667 0.667
Y3 0.667 0.333 0.333
Np1 0.000 0.000 0.500
Np2 0.333 0.667 0.167
Np3 0.667 0.333 0.833
As1 0.000 0.000 0.249
As2 0.000 0.000 0.751
As3 0.333 0.667 0.418
As4 0.333 0.667 0.916
As5 0.667 0.333 0.084
As6 0.667 0.333 0.582
```



Material: LiYMo
Method: DFT, PBE
State: optimized geometry

Computed properties:
Formation energy from the elements in eV per atom: 0.532
Fermi-level density of states in states/eV per atom: 0.857
SG: No. 42
Distance to the lowest polymorph of the same formula in meV/atom: 30.7

Structure (CIF):
```
data_LiYMo
_chemical_formula_sum 'Li4 Y4 Mo4'
_space_group_name_H-M_alt 'P 1'
_space_group_IT_number 1
_space_group_name_Hall 'P 1'
_cell_length_a 3.689
_cell_length_b 4.597
_cell_length_c 14.645
_cell_angle_alpha 90.00
_cell_angle_beta 90.00
_cell_angle_gamma 90.00
loop_
_atom_site_label
_atom_site_fract_x
_atom_site_fract_y
_atom_site_fract_z
Li1 0.000 0.000 0.000
Li2 0.000 0.500 0.500
Li3 0.500 0.000 0.500
Li4 0.500 0.500 0.000
Y1 0.000 0.000 0.304
Y2 0.000 0.500 0.804
Y3 0.500 0.000 0.804
Y4 0.500 0.500 0.304
Mo1 0.000 0.000 0.648
Mo2 0.000 0.500 0.148
Mo3 0.500 0.000 0.148
Mo4 0.500 0.500 0.648
```